This record from the Alexandria database describes a relaxed structure of BaWI2O. The functional is GGA+U.

magnetization	3.3	μB per formula unit
energy above the lowest structure with this stoichiometry	0.000	eV per atom
V	31.7	A^3/atom
E	-4.3350	eV per atom

POSCAR file:
```
BaWI2O
1.0
6.2796 0.0000 0.0000
0.0000 6.2796 0.0000
0.0000 0.0000 4.0211
Ba W I O
1 1 2 1
Cartesian
0.0000 0.0000 0.0000 Ba
3.1398 3.1398 2.0106 W
0.0000 3.1398 2.0106 I
3.1398 0.0000 2.0106 I
3.1398 3.1398 0.0000 O
```